(1)
VASP calculation (GGA-PBE) on a relaxed structure of CsThTe4. Values from VASP.

Geometry as Quantum ESPRESSO input:
```
&SYSTEM
  ibrav = 0, nat = 12, ntyp = 3
/
ATOMIC_SPECIES
Cs 132.91 Cs.upf
Th 232.04 Th.upf
Te 127.60 Te.upf
CELL_PARAMETERS angstrom
7.025 0.000 0.000
0.000 7.025 0.000
0.000 0.000 9.634
ATOMIC_POSITIONS angstrom
Cs 1.756 1.756 0.000
Cs 5.269 5.269 0.000
Th 1.756 1.756 4.817
Th 5.269 5.269 4.817
Te 0.700 4.212 2.960
Te 0.700 6.325 6.674
Te 2.813 4.212 6.674
Te 2.813 6.325 2.960
Te 4.212 0.700 6.674
Te 4.212 2.813 2.960
Te 6.325 0.700 2.960
Te 6.325 2.813 6.674
```

Total energy   -4.38 eV per atom
Raw formation energy   -0.904 eV/atom
Magnetic moment   0.0 Bohr magnetons per cell
Excess energy over the best structure of this formula in the dataset   0.0 kJ/mol of formula units
Space-group type   P4/nbm, No. 125


(2)
VASP calculation (GGA-PBE) on a relaxed structure of CsTh4Te8. Values from VASP.

Geometry as Quantum ESPRESSO input:
```
&SYSTEM
  ibrav = 0, nat = 26, ntyp = 3
/
ATOMIC_SPECIES
Cs 132.91 Cs.upf
Th 232.04 Th.upf
Te 127.60 Te.upf
CELL_PARAMETERS angstrom
8.646 0.000 0.000
-4.323 7.487 0.000
0.000 0.000 20.226
ATOMIC_POSITIONS angstrom
Cs 0.000 0.000 0.000
Cs 0.000 0.000 10.113
Th 0.000 0.000 5.056
Th 0.000 0.000 15.169
Th -2.125 3.765 5.056
Th 2.125 3.765 5.056
Th 0.000 7.445 5.056
Th 4.323 0.042 15.169
Th 2.198 3.722 15.169
Th 6.448 3.722 15.169
Te 0.000 2.510 13.215
Te 0.000 2.510 17.124
Te -2.149 6.232 13.215
Te -2.149 6.232 17.124
Te 0.000 4.992 3.066
Te 0.000 4.992 7.047
Te 2.174 1.255 3.102
Te 2.174 1.255 7.011
Te 2.149 6.232 13.215
Te 2.149 6.232 17.124
Te 4.323 2.496 13.179
Te 4.323 2.496 17.160
Te 6.472 1.255 3.102
Te 6.472 1.255 7.011
Te 4.323 4.977 3.102
Te 4.323 4.977 7.011
```

Total energy   -5.39 eV per atom
Raw formation energy   -1.105 eV/atom
Magnetic moment   2.2 Bohr magnetons per cell
Space-group type   P6_3/mmc, No. 194


(3)
VASP calculation (GGA-PBE) on a relaxed structure of CsTh2Tl3Te6. Values from VASP.

Geometry as Quantum ESPRESSO input:
```
&SYSTEM
  ibrav = 0, nat = 12, ntyp = 4
/
ATOMIC_SPECIES
Cs 132.91 Cs.upf
Th 232.04 Th.upf
Tl 204.38 Tl.upf
Te 127.60 Te.upf
CELL_PARAMETERS angstrom
10.706 -2.342 0.000
10.706 2.342 0.000
-2.016 0.000 9.837
ATOMIC_POSITIONS angstrom
Cs 0.000 0.000 0.000
Th 5.705 0.000 6.509
Th 13.692 0.000 3.328
Tl -1.008 0.000 4.919
Tl 6.925 0.000 1.734
Tl 12.472 0.000 8.103
Te 2.589 0.000 5.544
Te 3.671 0.000 1.305
Te 8.610 0.000 7.024
Te 10.786 0.000 2.813
Te 15.726 0.000 8.532
Te 16.808 0.000 4.293
```

Total energy   -4.33 eV per atom
Raw formation energy   -0.861 eV/atom
Magnetic moment   0.0 Bohr magnetons per cell
Space-group type   C2/m, No. 12


(4)
VASP calculation (GGA-PBE) on a relaxed structure of Cs4Th3TlTe8. Values from VASP.

Geometry as Quantum ESPRESSO input:
```
&SYSTEM
  ibrav = 0, nat = 16, ntyp = 4
/
ATOMIC_SPECIES
Cs 132.91 Cs.upf
Th 232.04 Th.upf
Tl 204.38 Tl.upf
Te 127.60 Te.upf
CELL_PARAMETERS angstrom
4.748 2.741 8.847
-4.748 2.741 8.847
0.000 -5.482 8.847
ATOMIC_POSITIONS angstrom
Cs 0.000 0.000 0.000
Cs -2.374 -1.371 8.847
Cs -2.374 1.371 17.693
Cs 0.000 2.741 8.847
Th -4.748 0.000 13.270
Th -2.374 1.371 4.423
Th 2.374 1.371 4.423
Tl 0.000 0.000 13.270
Te -2.529 -1.460 14.982
Te 0.000 0.000 6.142
Te 0.000 -2.921 11.558
Te -2.529 1.460 11.558
Te 2.529 -1.460 14.982
Te 0.000 2.921 14.982
Te 0.000 0.000 20.398
Te 2.529 1.460 11.558
```

Total energy   -4.45 eV per atom
Raw formation energy   -1.127 eV/atom
Magnetic moment   0.0 Bohr magnetons per cell
Space-group type   R-3m, No. 166


(5)
VASP calculation (GGA-PBE) on a relaxed structure of Cs4Tm3ThTe8. Values from VASP.

Geometry as Quantum ESPRESSO input:
```
&SYSTEM
  ibrav = 0, nat = 16, ntyp = 4
/
ATOMIC_SPECIES
Cs 132.91 Cs.upf
Tm 168.93 Tm.upf
Th 232.04 Th.upf
Te 127.60 Te.upf
CELL_PARAMETERS angstrom
4.519 2.609 8.957
-4.519 2.609 8.957
0.000 -5.218 8.957
ATOMIC_POSITIONS angstrom
Cs 0.000 0.000 0.000
Cs -2.259 -1.304 8.957
Cs -2.259 1.304 17.914
Cs 0.000 2.609 8.957
Tm -4.519 0.000 13.436
Tm -2.259 1.304 4.478
Tm 2.259 1.304 4.479
Th 0.000 0.000 13.436
Te -2.302 -1.329 15.151
Te 0.000 0.000 6.151
Te 0.000 -2.658 11.720
Te -2.302 1.329 11.720
Te 2.302 -1.329 15.151
Te 0.000 2.658 15.151
Te 0.000 0.000 20.720
Te 2.302 1.329 11.720
```

Total energy   -4.39 eV per atom
Raw formation energy   -1.304 eV/atom
Magnetic moment   0.0 Bohr magnetons per cell
Space-group type   R-3m, No. 166


(6)
VASP calculation (GGA-PBE) on a relaxed structure of Cs3Tm3ThTe8. Values from VASP.

Geometry as Quantum ESPRESSO input:
```
&SYSTEM
  ibrav = 0, nat = 15, ntyp = 4
/
ATOMIC_SPECIES
Cs 132.91 Cs.upf
Tm 168.93 Tm.upf
Th 232.04 Th.upf
Te 127.60 Te.upf
CELL_PARAMETERS angstrom
4.471 2.581 9.086
-4.471 2.581 9.086
0.000 -5.163 9.086
ATOMIC_POSITIONS angstrom
Cs -2.236 -1.291 9.086
Cs -2.236 1.291 18.172
Cs 0.000 2.581 9.086
Tm -4.471 0.000 13.629
Tm -2.236 1.291 4.543
Tm 2.236 1.291 4.543
Th 0.000 0.000 13.629
Te -2.291 -1.323 15.355
Te 0.000 0.000 6.232
Te 0.000 -2.645 11.904
Te -2.291 1.323 11.904
Te 2.291 -1.323 15.355
Te 0.000 2.645 15.355
Te 0.000 0.000 21.026
Te 2.291 1.323 11.904
```

Total energy   -4.58 eV per atom
Raw formation energy   -1.347 eV/atom
Magnetic moment   0.0 Bohr magnetons per cell
Space-group type   R-3m, No. 166